Entry 1:
Computed, not measured: PrMgBi2 after structural relaxation at the GGA-PBE level of DFT.

a = 7.5686 Å, b = 7.5686 Å, c = 7.5686 Å
α = 35.72°, β = 35.72°, γ = 35.72°
Last column: nearest neighbours and their distance in Å.
Fractional positions:
1 Pr 0.0000 0.0000 0.0000  6 Bi 3.26-3.27, 1 Mg 3.65
2 Mg 0.1719 0.1719 0.1719  6 Bi 3.11-3.21
3 Bi 0.4217 0.4217 0.4217  3 Mg 3.21, 3 Pr 3.27, 1 Bi 3.34
4 Bi 0.5791 0.5791 0.5791  3 Mg 3.11, 3 Pr 3.26, 1 Bi 3.34

## Properties
Symmetry: R3m
Total DFT energy (no corrections) (eV per atom): -3.97
Magnetization (μB per cell): 0.000

Entry 2:
Computed, not measured: PrMgBi2 after structural relaxation at the GGA-PBE level of DFT.

a = 5.5393 Å, b = 5.5393 Å, c = 5.5393 Å
α = 60.00°, β = 60.00°, γ = 60.00°
Last column: nearest neighbours and their distance in Å.
Fractional positions:
1 Pr 0.0000 0.0000 0.0000  8 Bi 3.39
2 Mg 0.5000 0.5000 0.5000  8 Bi 3.39
3 Bi 0.2500 0.2500 0.2500  4 Pr 3.39, 4 Mg 3.39
4 Bi 0.7500 0.7500 0.7500  4 Mg 3.39, 4 Pr 3.39

## Properties
Symmetry: Fm-3m
Total DFT energy (no corrections) (eV per atom): -3.89
Magnetization (μB per cell): 0.000

Entry 3:
Computed, not measured: Pr8MgBi6 after structural relaxation at the GGA-PBE level of DFT.

a = 8.6394 Å, b = 8.6394 Å, c = 8.6394 Å
α = 67.85°, β = 67.85°, γ = 67.85°
Last column: nearest neighbours and their distance in Å.
Fractional positions:
1 Pr 0.1254 0.4020 0.6927  5 Bi 3.23-3.45, 1 Mg 3.30
2 Pr 0.1684 0.1684 0.1684  6 Bi 3.37-3.43
3 Pr 0.3073 0.8746 0.5980  5 Bi 3.23-3.45, 1 Mg 3.30
4 Pr 0.4020 0.6927 0.1254  5 Bi 3.23-3.45, 1 Mg 3.30
5 Pr 0.5980 0.3073 0.8746  5 Bi 3.23-3.45, 1 Mg 3.30
6 Pr 0.6927 0.1254 0.4020  5 Bi 3.23-3.45, 1 Mg 3.30
7 Pr 0.8316 0.8316 0.8316  6 Bi 3.37-3.43
8 Pr 0.8746 0.5980 0.3073  5 Bi 3.23-3.45, 1 Mg 3.30
9 Mg 0.5000 0.5000 0.5000  6 Pr 3.30
10 Bi 0.0526 0.7935 0.4270  7 Pr 3.23-3.45
11 Bi 0.2065 0.5730 0.9474  7 Pr 3.23-3.45
12 Bi 0.4270 0.0526 0.7935  7 Pr 3.23-3.45
13 Bi 0.5730 0.9474 0.2065  7 Pr 3.23-3.45
14 Bi 0.7935 0.4270 0.0526  7 Pr 3.23-3.45
15 Bi 0.9474 0.2065 0.5730  7 Pr 3.23-3.45

## Properties
Symmetry: R-3
Total DFT energy (no corrections) (eV per atom): -4.87
Magnetization (μB per cell): 0.013

Entry 4:
Computed, not measured: Pr2MgBi after structural relaxation at the GGA-PBE level of DFT.

a = 4.1999 Å, b = 4.1999 Å, c = 6.9703 Å
α = 90.00°, β = 90.00°, γ = 90.00°
Last column: nearest neighbours and their distance in Å.
Fractional positions:
1 Pr 0.0000 0.0000 0.2460  4 Bi 3.43, 2 Pr 3.43-3.54, 4 Mg 3.46
2 Pr 0.0000 0.0000 0.7540  4 Bi 3.43, 2 Pr 3.43-3.54, 4 Mg 3.46
3 Mg 0.5000 0.5000 0.5000  8 Pr 3.46, 2 Bi 3.49
4 Bi 0.5000 0.5000 0.0000  8 Pr 3.43, 2 Mg 3.49

## Properties
Symmetry: P4/mmm
Total DFT energy (no corrections) (eV per atom): -4.24
Magnetization (μB per cell): 0.000